Entry from Alexandria: crystalline Ac3PSe at its relaxed geometry (PBE).

Lattice parameters (Å, degrees): 5.7954 5.7954 5.7954 90.00 90.00 90.00
Space group Pm-3m (No. 221)
One atom of each set of equivalent atoms:
Ac1 0.0000 0.0000 0.5000 (multiplicity 3)
P1 0.0000 0.0000 0.0000 (multiplicity 1)
Se1 0.5000 0.5000 0.5000 (multiplicity 1)

Summary:
The total energy comes out at -24.1 eV/f.u.

---

Entry from Alexandria: crystalline CrNi2Os at its relaxed geometry (PBE).

Lattice parameters (Å, degrees): 8.4965 2.5465 4.5009 90.00 98.89 90.00
Space group Cm (No. 8)
One atom of each set of equivalent atoms:
Cr1 0.0000 0.0000 0.0000 (multiplicity 2)
Ni1 0.0051 0.5000 0.5145 (multiplicity 2)
Ni2 0.2561 0.0000 0.7484 (multiplicity 2)
Os1 0.2589 0.5000 0.2522 (multiplicity 2)

Summary:
The energy above the most stable polymorph in this dataset comes out at 51.3 meV/atom.

---

Entry from Alexandria: crystalline YOs2W at its relaxed geometry (PBE).

Lattice parameters (Å, degrees): 3.2006 4.4565 4.8246 90.00 90.00 90.00
Space group Pmmm (No. 47)
One atom of each set of equivalent atoms:
Y1 0.0000 0.0000 0.0000 (multiplicity 1)
Os1 0.0000 0.5000 0.5000 (multiplicity 1)
Os2 0.5000 0.5000 0.0000 (multiplicity 1)
W1 0.5000 0.0000 0.5000 (multiplicity 1)

Summary:
The energy above the most stable polymorph in this dataset comes out at 481.0 meV/atom.

---

Entry from Alexandria: crystalline Cd4Pd3 at its relaxed geometry (PBE).

Lattice parameters (Å, degrees): 4.6114 4.6114 22.1347 90.00 90.00 120.00
Space group R-3m (No. 166, hexagonal axes)
One atom of each set of equivalent atoms:
Cd1 0.0000 0.0000 0.1186 (multiplicity 6)
Cd2 0.0000 0.0000 0.3711 (multiplicity 6)
Pd1 0.0000 0.0000 0.2458 (multiplicity 6)
Pd2 0.0000 0.0000 0.5000 (multiplicity 3)

Summary:
The energy above the most stable polymorph in this dataset comes out at 18.1 meV/atom.

---

| no. | M_tot (μB per cell) |
| --- | --- |
| 1 | 0.0 |
| 2 | 1.1 |
| 3 | 0.0 |
| 4 | 0.0 |